Below is a relaxed structure of NaSrCd2Au4, with properties calculated at the PBE-GGA level.

Output
As for the space group: R-3m. The formation energy comes out at -392 meV per atom. The value obtained for the spin magnetization is 0.00 μB/f.u. The value obtained for the density of states at the Fermi level is 2.37 states/eV per cell.

Lattice parameters (Å, degrees): 9.807 9.807 9.807 28.49 28.49 28.49
Sites, in units of the cell vectors:
Na (0.000, 0.000, 0.000)
Sr (0.500, 0.500, 0.500)
Cd (0.260, 0.260, 0.260)
Cd (0.740, 0.740, 0.740)
Au (0.103, 0.103, 0.103)
Au (0.387, 0.387, 0.387)
Au (0.613, 0.613, 0.613)
Au (0.897, 0.897, 0.897)